First-principles (PBE) data for crystalline ZrCo4As at its relaxed geometry, as listed in Alexandria via LeMat-Bulk.

```
ZrCo4As
1.0
0.000 3.427 3.427
3.427 0.000 3.427
3.427 3.427 0.000
Zr Co As
1 4 1
Cartesian
5.141 5.141 5.141
2.571 4.284 4.284
4.284 4.284 2.571
4.284 2.571 4.284
2.571 2.571 2.571
0.000 0.000 0.000
```

Computed properties:
- DFT formation energy (eV per atom) = -0.12
- DFT total energy (eV per atom) = -7.054
- space group = F-43m